The following is a PBE-GGA calculation of an optimized crystal structure of Cu2Hg3Br8, from Alexandria.

Calculated values
Its total energy is -2.09 eV per atom.

Cell: 7.942 7.942 7.126 Å, 106.85 106.85 62.95°
Element x y z (fractional)
Cu  0.165  0.165  0.116
Cu  0.835  0.835  0.884
Hg  0.236  0.764  0.500
Hg  0.500  0.500  0.000
Hg  0.764  0.236  0.500
Br  0.125  0.625  0.746
Br  0.133  0.133  0.760
Br  0.368  0.368  0.252
Br  0.375  0.875  0.254
Br  0.625  0.125  0.746
Br  0.632  0.632  0.748
Br  0.867  0.867  0.240
Br  0.875  0.375  0.254